Compound: Na2SrTl10
Source: Alexandria
Functional: PBE
Structure: relaxed

```
Na2SrTl10
1.0
-4.979 2.167 3.354
-1.913 -5.265 6.634
2.355 5.108 6.267
Na Sr Tl
2 1 10
Cartesian
-0.956 -2.632 3.317 Na
-3.446 -1.549 4.994 Na
0.000 0.000 0.000 Sr
-1.476 0.682 9.513 Tl
-3.060 1.329 6.743 Tl
-4.131 3.591 9.764 Tl
-0.405 -1.580 6.491 Tl
1.177 2.554 3.134 Tl
-1.312 3.637 4.811 Tl
-1.356 0.557 3.700 Tl
-3.181 1.454 12.556 Tl
-3.516 -1.977 8.202 Tl
-1.020 3.987 8.054 Tl
```

* ΔE_f: -0.0706 eV per atom

=====

Compound: Y2CdAg
Source: Alexandria
Functional: PBE
Structure: relaxed

```
Y2CdAg
1.0
-3.766 -3.611 -0.201
2.572 -2.681 -0.026
-0.120 -0.165 5.217
Y Ag Cd
2 1 1
Cartesian
0.216 -0.480 4.567 Y
-1.606 -2.202 1.845 Y
1.562 -1.738 1.957 Ag
-0.381 -3.625 4.433 Cd
```

* ΔE_f: -0.3296 eV per atom

=====

Compound: BaLiBePd2
Source: Alexandria
Functional: PBE
Structure: relaxed

```
BaLiBePd2
1.0
4.593 0.000 0.000
0.000 4.593 0.000
0.000 0.000 4.725
Be Ba Pd Li
1 1 2 1
Cartesian
0.000 0.000 0.000 Be
2.296 2.296 2.363 Ba
0.000 2.296 0.000 Pd
2.296 0.000 0.000 Pd
0.000 0.000 2.363 Li
```

* ΔE_f: -0.2631 eV per atom